This record from the Alexandria database describes crystalline RbYTe2O6 at its relaxed geometry. The functional is GGA-PBEsol.

Geometry as CIF:
```
data_RbYTe2O6
_symmetry_space_group_name_H-M 'P 1'
_symmetry_Int_Tables_number 1
_cell_length_a 6.0731
_cell_length_b 8.5395
_cell_length_c 13.5218
_cell_angle_alpha 90.00
_cell_angle_beta 90.00
_cell_angle_gamma 90.00
loop_
_symmetry_equiv_pos_as_xyz
'x,y,z'
loop_
_atom_site_label
_atom_site_type_symbol
_atom_site_fract_x
_atom_site_fract_y
_atom_site_fract_z
Y1 Y 0.7500 0.2172 0.0893
Y2 Y 0.2500 0.7828 0.9107
Y3 Y 0.2500 0.7172 0.4107
Y4 Y 0.7500 0.2828 0.5893
O1 O 0.4883 0.3050 0.9868
O2 O 0.5122 0.6364 0.3039
O3 O 0.7500 0.0523 0.6721
O4 O 0.7500 0.9798 0.0186
O5 O 0.2500 0.5523 0.8279
O6 O 0.0117 0.1950 0.4868
O7 O 0.7500 0.5202 0.5186
O8 O 0.4878 0.1364 0.1961
O9 O 0.2500 0.9477 0.3279
O10 O 0.9883 0.8050 0.5132
O11 O 0.2500 0.4798 0.4814
O12 O 0.0117 0.3050 0.9868
O13 O 0.2500 0.0202 0.9814
O14 O 0.5117 0.6950 0.0132
O15 O 0.5117 0.8050 0.5132
O16 O 0.4883 0.1950 0.4868
O17 O 0.4878 0.3636 0.6961
O18 O 0.0122 0.1364 0.1961
O19 O 0.9878 0.6364 0.3039
O20 O 0.9878 0.8636 0.8039
O21 O 0.9883 0.6950 0.0132
O22 O 0.7500 0.4477 0.1721
O23 O 0.0122 0.3636 0.6961
O24 O 0.5122 0.8636 0.8039
Te1 Te 0.2500 0.5041 0.6910
Te2 Te 0.7500 0.7171 0.5818
Te3 Te 0.2500 0.2829 0.4182
Te4 Te 0.2500 0.2171 0.9182
Te5 Te 0.7500 0.0041 0.8090
Te6 Te 0.2500 0.9959 0.1910
Te7 Te 0.7500 0.7829 0.0818
Te8 Te 0.7500 0.4959 0.3090
Rb1 Rb 0.2500 0.0107 0.6373
Rb2 Rb 0.7500 0.9893 0.3627
Rb3 Rb 0.2500 0.4893 0.1373
Rb4 Rb 0.7500 0.5107 0.8627
```

Summary:
ΔE_f (raw) in eV/atom: -1.893
Space group: Pnma (62)
V in Å³/cell: 701.25

=====

This record from the Alexandria database describes crystalline Ba5Al3F19 at its relaxed geometry. The functional is GGA-PBEsol.

Geometry as CIF:
```
data_Ba5Al3F19
_symmetry_space_group_name_H-M 'P 1'
_symmetry_Int_Tables_number 1
_cell_length_a 7.4777
_cell_length_b 10.9401
_cell_length_c 10.9401
_cell_angle_alpha 83.29
_cell_angle_beta 70.02
_cell_angle_gamma 70.02
loop_
_symmetry_equiv_pos_as_xyz
'x,y,z'
loop_
_atom_site_label
_atom_site_type_symbol
_atom_site_fract_x
_atom_site_fract_y
_atom_site_fract_z
F1 F 0.1158 0.3086 0.4599
F2 F 0.7226 0.3546 0.8673
F3 F 0.4261 0.2080 0.6019
F4 F 0.3091 0.0629 0.8378
F5 F 0.0771 0.8673 0.6454
F6 F 0.2664 0.4707 0.9965
F7 F 0.9229 0.1327 0.3546
F8 F 0.0000 0.0000 0.0000
F9 F 0.7640 0.2080 0.6019
F10 F 0.2774 0.6454 0.1327
F11 F 0.5756 0.5401 0.3086
F12 F 0.9444 0.6454 0.1327
F13 F 0.3790 0.6683 0.5738
F14 F 0.0556 0.3546 0.8673
F15 F 0.5000 0.0000 0.0000
F16 F 0.6341 0.6019 0.7920
F17 F 0.7903 0.0629 0.8378
F18 F 0.5899 0.1327 0.3546
F19 F 0.4101 0.8673 0.6454
F20 F 0.0280 0.3981 0.2080
F21 F 0.9720 0.6019 0.7920
F22 F 0.5739 0.7920 0.3981
F23 F 0.2360 0.7920 0.3981
F24 F 0.6280 0.1622 0.0629
F25 F 0.2629 0.0035 0.4707
F26 F 0.3720 0.8378 0.9371
F27 F 0.8531 0.8378 0.9371
F28 F 0.6210 0.3317 0.4262
F29 F 0.2097 0.9371 0.1622
F30 F 0.1469 0.1622 0.0629
F31 F 0.6909 0.9371 0.1622
F32 F 0.3659 0.3981 0.2080
F33 F 0.0473 0.5738 0.3317
F34 F 0.4244 0.4599 0.6914
F35 F 0.7371 0.9965 0.5293
F36 F 0.9527 0.4262 0.6683
F37 F 0.8842 0.6914 0.5401
F38 F 0.7336 0.5293 0.0035
Ba1 Ba 0.0829 0.1579 0.6763
Ba2 Ba 0.2858 0.1596 0.2688
Ba3 Ba 0.2408 0.6763 0.8421
Ba4 Ba 0.7142 0.8404 0.7312
Ba5 Ba 0.7592 0.3237 0.1579
Ba6 Ba 0.2500 0.5000 0.5000
Ba7 Ba 0.4454 0.2688 0.8404
Ba8 Ba 0.9171 0.8421 0.3237
Ba9 Ba 0.5546 0.7312 0.1596
Ba10 Ba 0.7500 0.5000 0.5000
Al1 Al 0.7529 0.0000 0.0000
Al2 Al 0.8420 0.4802 0.8358
Al3 Al 0.3222 0.8358 0.5198
Al4 Al 0.1580 0.5198 0.1642
Al5 Al 0.2471 0.0000 0.0000
Al6 Al 0.6778 0.1642 0.4802
```

Summary:
ΔE_f (raw) in eV/atom: -3.792
Space group: I4/m (87)
V in Å³/cell: 790.44

=====

This record from the Alexandria database describes crystalline CaTaMo2 at its relaxed geometry. The functional is GGA-PBEsol.

Geometry as CIF:
```
data_CaTaMo2
_symmetry_space_group_name_H-M 'P 1'
_symmetry_Int_Tables_number 1
_cell_length_a 2.9050
_cell_length_b 4.4336
_cell_length_c 6.2805
_cell_angle_alpha 90.00
_cell_angle_beta 98.31
_cell_angle_gamma 90.00
loop_
_symmetry_equiv_pos_as_xyz
'x,y,z'
loop_
_atom_site_label
_atom_site_type_symbol
_atom_site_fract_x
_atom_site_fract_y
_atom_site_fract_z
Ta1 Ta 0.5000 0.5000 0.0000
Mo1 Mo 0.8052 0.0000 0.8210
Mo2 Mo 0.1948 0.0000 0.1790
Ca1 Ca 0.0000 0.5000 0.5000
```

Summary:
Energy of formation in eV per atom: 0.5355
Space group: P2/m (10)
V in Å³/cell: 80.04

=====

This record from the Alexandria database describes crystalline HfBeCl2 at its relaxed geometry. The functional is GGA-PBEsol.

Geometry as CIF:
```
data_HfBeCl2
_symmetry_space_group_name_H-M 'P 1'
_symmetry_Int_Tables_number 1
_cell_length_a 5.4310
_cell_length_b 6.1366
_cell_length_c 5.4310
_cell_angle_alpha 63.74
_cell_angle_beta 90.00
_cell_angle_gamma 116.26
loop_
_symmetry_equiv_pos_as_xyz
'x,y,z'
loop_
_atom_site_label
_atom_site_type_symbol
_atom_site_fract_x
_atom_site_fract_y
_atom_site_fract_z
Cl1 Cl 0.5435 0.7500 0.3750
Cl2 Cl 0.3750 0.2500 0.2065
Cl3 Cl 0.8750 0.2500 0.5435
Cl4 Cl 0.2065 0.7500 0.8750
Hf1 Hf 0.7500 0.5000 0.7500
Hf2 Hf 0.0000 0.0000 0.0000
Be1 Be 0.2500 0.5000 0.2500
Be2 Be 0.5000 0.0000 0.5000
```

Summary:
ΔE_f (raw) in eV/atom: 0.124
Space group: I-42d (122)
V in Å³/cell: 141.18